The following is a PBE+U calculation of MnAgP2O8 after structural relaxation, from Alexandria.

a b c (Å): 4.714 4.714 7.908
angles (deg): 72.66 72.66 60.00
Last column: magnetic moment on the atom in μB.
Element x y z (fractional)
Mn  0.000  0.000  0.000  3.12
Ag  0.500  0.500  0.500  0.19
P  0.260  0.260  0.220  0.00
P  0.740  0.740  0.780  0.00
O  0.190  0.190  0.430  0.24
O  0.607  0.254  0.155  0.02
O  0.810  0.810  0.570  0.24
O  0.984  0.607  0.155  0.02
O  0.016  0.393  0.845  0.02
O  0.254  0.984  0.155  0.02
O  0.746  0.016  0.845  0.02
O  0.393  0.746  0.845  0.02

Output
The total DFT energy (no corrections) comes out at -6.574 eV per atom.